First-principles (PBE-GGA) data for a relaxed AlCdHg2 crystal, as listed in Alexandria.

Structure (POSCAR):
```
AlCdHg2
1.0
-2.165 2.165 4.823
2.165 -2.165 4.823
2.165 2.165 -4.823
Al Cd Hg
1 1 2
Cartesian
0.000 0.000 0.000
2.165 0.000 2.412
0.000 0.000 4.823
0.000 2.165 2.412
```

**Magnetic moment**: 0.0 μB per formula unit
**E**: -1.169 eV per atom
**Formation energy**: 0.6 eV/f.u.

=====

First-principles (PBE-GGA) data for a relaxed Al2Cd2Hg crystal, as listed in Alexandria.

Structure (POSCAR):
```
Al2Cd2Hg
1.0
8.569 0.000 0.000
0.000 8.569 0.000
0.000 0.000 3.033
Al Cd Hg
4 4 2
Cartesian
0.970 3.314 0.000
3.314 7.599 0.000
5.254 0.970 0.000
7.599 5.254 0.000
1.566 5.851 1.516
2.718 1.566 1.516
5.851 7.002 1.516
7.002 2.718 1.516
0.000 0.000 1.516
4.284 4.284 1.516
```

**Magnetic moment**: 0.0 μB per formula unit
**E**: -1.771 eV per atom
**Formation energy**: 0.8 eV/f.u.
**ΔE to the lowest computed polymorph**: 10.8 meV per atom

=====

First-principles (PBE-GGA) data for a relaxed AlCdHg2 crystal, as listed in Alexandria.

Structure (POSCAR):
```
AlCdHg2
1.0
-1.594 2.257 6.545
1.594 -2.257 6.545
1.594 2.257 -6.545
Al Cd Hg
1 1 2
Cartesian
0.000 0.000 0.000
1.594 0.000 2.779
0.000 0.000 7.065
0.000 2.257 4.144
```

**Magnetic moment**: 0.0 μB per formula unit
**E**: -1.219 eV per atom
**Formation energy**: 0.4 eV/f.u.

=====

First-principles (PBE-GGA) data for a relaxed AlCd2Hg crystal, as listed in Alexandria.

Structure (POSCAR):
```
AlCd2Hg
1.0
3.673 0.000 0.000
0.000 4.890 0.000
0.000 0.000 4.996
Al Cd Hg
1 2 1
Cartesian
0.000 0.000 0.000
0.000 2.445 2.498
1.836 0.000 2.498
1.836 2.445 0.000
```

**Magnetic moment**: 0.0 μB per formula unit
**E**: -1.318 eV per atom
**Formation energy**: 0.6 eV/f.u.
**ΔE to the lowest computed polymorph**: 61.6 meV per atom

=====

First-principles (PBE-GGA) data for a relaxed AlCd2Hg crystal, as listed in Alexandria.

Structure (POSCAR):
```
AlCd2Hg
1.0
3.502 0.000 0.000
0.000 3.502 0.000
0.000 0.000 7.250
Al Cd Hg
1 2 1
Cartesian
0.000 0.000 0.000
0.000 0.000 3.646
1.751 1.751 1.727
1.751 1.751 5.621
```

**Magnetic moment**: 0.0 μB per formula unit
**E**: -1.324 eV per atom
**Formation energy**: 0.6 eV/f.u.
**ΔE to the lowest computed polymorph**: 54.9 meV per atom

=====

First-principles (PBE-GGA) data for a relaxed AlCdHg2 crystal, as listed in Alexandria.

Structure (POSCAR):
```
AlCdHg2
1.0
1.715 0.990 8.779
-1.715 0.990 8.779
0.000 -1.980 8.779
Al Cd Hg
1 1 2
Cartesian
0.000 0.000 0.000
0.000 0.000 13.169
0.000 0.000 6.721
0.000 0.000 19.617
```

**Magnetic moment**: 0.0 μB per formula unit
**E**: -1.238 eV per atom
**Formation energy**: 0.3 eV/f.u.

=====

First-principles (PBE-GGA) data for a relaxed AlCd2Hg crystal, as listed in Alexandria.

Structure (POSCAR):
```
AlCd2Hg
1.0
0.000 3.566 3.566
3.566 0.000 3.566
3.566 3.566 0.000
Al Cd Hg
1 2 1
Cartesian
0.000 0.000 0.000
1.783 1.783 1.783
5.349 5.349 5.349
3.566 3.566 3.566
```

**Magnetic moment**: 0.0 μB per formula unit
**E**: -1.288 eV per atom
**Formation energy**: 0.7 eV/f.u.
**ΔE to the lowest computed polymorph**: 91.5 meV per atom

=====

First-principles (PBE-GGA) data for a relaxed AlCdHg crystal, as listed in Alexandria.

Structure (POSCAR):
```
AlCdHg
1.0
0.000 2.762 7.162
1.692 0.000 7.162
1.692 2.762 0.000
Al Cd Hg
1 1 1
Cartesian
0.000 0.000 0.000
1.692 2.762 9.499
1.692 2.762 4.889
```

**Magnetic moment**: 0.0 μB per formula unit
**E**: -1.477 eV per atom
**Formation energy**: 0.5 eV/f.u.

=====

First-principles (PBE-GGA) data for a relaxed AlCd2Hg crystal, as listed in Alexandria.

Structure (POSCAR):
```
AlCd2Hg
1.0
3.114 0.000 0.000
0.000 4.345 0.000
0.000 0.000 6.392
Al Cd Hg
1 2 1
Cartesian
0.000 0.000 0.000
0.000 0.000 3.180
1.557 2.172 1.571
1.557 2.172 4.886
```

**Magnetic moment**: 0.0 μB per formula unit
**E**: -1.358 eV per atom
**Formation energy**: 0.4 eV/f.u.
**ΔE to the lowest computed polymorph**: 21.7 meV per atom

=====

First-principles (PBE-GGA) data for a relaxed Ho4AlCd2Hg crystal, as listed in Alexandria.

Structure (POSCAR):
```
Ho4AlCd2Hg
1.0
2.605 1.504 8.524
-2.605 1.504 8.524
0.000 -3.009 8.524
Ho Al Cd Hg
4 1 2 1
Cartesian
0.000 0.000 3.167
0.000 0.000 9.563
0.000 0.000 16.010
0.000 0.000 22.405
0.000 0.000 0.000
0.000 0.000 6.424
0.000 0.000 19.148
0.000 0.000 12.786
```

**Magnetic moment**: 0.0 μB per formula unit
**E**: -3.398 eV per atom
**Formation energy**: -3.0 eV/f.u.

=====

First-principles (PBE-GGA) data for a relaxed Ho4AlCdHg2 crystal, as listed in Alexandria.

Structure (POSCAR):
```
Ho4AlCdHg2
1.0
2.609 1.506 8.524
-2.609 1.506 8.524
0.000 -3.013 8.524
Ho Al Cd Hg
4 1 1 2
Cartesian
0.000 0.000 3.127
0.000 0.000 9.526
0.000 0.000 16.047
0.000 0.000 22.446
0.000 0.000 0.000
0.000 0.000 12.786
0.000 0.000 6.313
0.000 0.000 19.260
```

**Magnetic moment**: 0.0 μB per formula unit
**E**: -3.343 eV per atom
**Formation energy**: -3.2 eV/f.u.

=====

First-principles (PBE-GGA) data for a relaxed HoAlCdHg crystal, as listed in Alexandria.

Structure (POSCAR):
```
HoAlCdHg
1.0
0.000 3.545 3.545
3.545 0.000 3.545
3.545 3.545 0.000
Ho Al Cd Hg
1 1 1 1
Cartesian
0.000 0.000 0.000
3.545 3.545 3.545
1.772 1.772 1.772
5.317 5.317 5.317
```

**Magnetic moment**: 0.0 μB per formula unit
**E**: -2.609 eV per atom
**Formation energy**: -0.9 eV/f.u.